No. 1
# Co2NiN2 (PBEsol, optimized geometry)
data_Co2NiN2
_chemical_formula_sum 'Co4 Ni2 N4'
_cell_length_a 2.733
_cell_length_b 2.733
_cell_length_c 11.669
_cell_angle_alpha 90.00
_cell_angle_beta 90.00
_cell_angle_gamma 90.00
_space_group_name_H-M_alt 'I 4/m m m'
_space_group_IT_number 139
_space_group_name_Hall '-I 4 2'
loop_
_atom_site_label
_atom_site_fract_x
_atom_site_fract_y
_atom_site_fract_z
Co1 0.000 0.000 0.181
Ni1 0.000 0.000 0.500
N1 0.000 0.000 0.346
# Total magnetic moment, μB per formula unit: 0.00
# Uncorrected formation energy, eV per atom: 0.07
# DFT total energy, eV per atom: -7.66

No. 2
# CoNiSN2 (PBEsol, optimized geometry)
data_CoNiSN2
_chemical_formula_sum 'Co1 Ni1 S1 N2'
_cell_length_a 3.422
_cell_length_b 3.422
_cell_length_c 5.025
_cell_angle_alpha 90.00
_cell_angle_beta 90.00
_cell_angle_gamma 90.00
_space_group_name_H-M_alt 'P 4/m m m'
_space_group_IT_number 123
_space_group_name_Hall '-P 4 2'
loop_
_atom_site_label
_atom_site_fract_x
_atom_site_fract_y
_atom_site_fract_z
Co1 0.000 0.000 0.000
Ni1 0.500 0.500 0.500
S1 0.000 0.000 0.500
N1 0.000 0.500 0.000
# Total magnetic moment, μB per formula unit: 0.00
# Uncorrected formation energy, eV per atom: 0.94
# DFT total energy, eV per atom: -6.12

No. 3
# CoNiSe2N (PBEsol, optimized geometry)
data_CoNiSe2N
_chemical_formula_sum 'Co1 Ni1 Se2 N1'
_cell_length_a 4.816
_cell_length_b 4.816
_cell_length_c 3.300
_cell_angle_alpha 90.00
_cell_angle_beta 90.00
_cell_angle_gamma 90.00
_space_group_name_H-M_alt 'P 4/m m m'
_space_group_IT_number 123
_space_group_name_Hall '-P 4 2'
loop_
_atom_site_label
_atom_site_fract_x
_atom_site_fract_y
_atom_site_fract_z
Co1 0.000 0.000 0.000
Ni1 0.500 0.500 0.500
Se1 0.000 0.500 0.500
N1 0.500 0.500 0.000
# Total magnetic moment, μB per formula unit: 1.90
# Uncorrected formation energy, eV per atom: 0.74
# DFT total energy, eV per atom: -5.28

No. 4
# CoPbNO2 (PBEsol, optimized geometry)
data_CoPbNO2
_chemical_formula_sum 'Co1 Pb1 N1 O2'
_cell_length_a 4.168
_cell_length_b 4.168
_cell_length_c 4.229
_cell_angle_alpha 90.00
_cell_angle_beta 90.00
_cell_angle_gamma 90.00
_space_group_name_H-M_alt 'P 4/m m m'
_space_group_IT_number 123
_space_group_name_Hall '-P 4 2'
loop_
_atom_site_label
_atom_site_fract_x
_atom_site_fract_y
_atom_site_fract_z
Co1 0.000 0.000 0.000
Pb1 0.500 0.500 0.500
N1 0.500 0.500 0.000
O1 0.000 0.500 0.500
# Total magnetic moment, μB per formula unit: 4.01
# Uncorrected formation energy, eV per atom: 1.08
# DFT total energy, eV per atom: -5.07

No. 5
# RbCoN2O (PBEsol, optimized geometry)
data_RbCoN2O
_chemical_formula_sum 'Rb1 Co1 N2 O1'
_cell_length_a 4.964
_cell_length_b 4.964
_cell_length_c 4.323
_cell_angle_alpha 90.00
_cell_angle_beta 90.00
_cell_angle_gamma 90.00
_space_group_name_H-M_alt 'P 4/m m m'
_space_group_IT_number 123
_space_group_name_Hall '-P 4 2'
loop_
_atom_site_label
_atom_site_fract_x
_atom_site_fract_y
_atom_site_fract_z
Rb1 0.000 0.000 0.000
Co1 0.500 0.500 0.500
N1 0.000 0.500 0.000
O1 0.000 0.000 0.500
# Total magnetic moment, μB per formula unit: 7.25
# Uncorrected formation energy, eV per atom: 2.95
# DFT total energy, eV per atom: -3.26

No. 6
# CoRhNO2 (PBEsol, optimized geometry)
data_CoRhNO2
_chemical_formula_sum 'Co1 Rh1 N1 O2'
_cell_length_a 3.930
_cell_length_b 3.930
_cell_length_c 3.597
_cell_angle_alpha 90.00
_cell_angle_beta 90.00
_cell_angle_gamma 90.00
_space_group_name_H-M_alt 'P 4/m m m'
_space_group_IT_number 123
_space_group_name_Hall '-P 4 2'
loop_
_atom_site_label
_atom_site_fract_x
_atom_site_fract_y
_atom_site_fract_z
Co1 0.000 0.000 0.000
Rh1 0.500 0.500 0.500
N1 0.500 0.500 0.000
O1 0.000 0.500 0.500
# Total magnetic moment, μB per formula unit: 3.15
# Uncorrected formation energy, eV per atom: 0.60
# DFT total energy, eV per atom: -6.38

No. 7
# CoSnN2O (PBEsol, optimized geometry)
data_CoSnN2O
_chemical_formula_sum 'Co1 Sn1 N2 O1'
_cell_length_a 3.621
_cell_length_b 3.621
_cell_length_c 3.957
_cell_angle_alpha 90.00
_cell_angle_beta 90.00
_cell_angle_gamma 90.00
_space_group_name_H-M_alt 'P 4/m m m'
_space_group_IT_number 123
_space_group_name_Hall '-P 4 2'
loop_
_atom_site_label
_atom_site_fract_x
_atom_site_fract_y
_atom_site_fract_z
Co1 0.000 0.000 0.000
Sn1 0.500 0.500 0.500
N1 0.000 0.500 0.000
O1 0.000 0.000 0.500
# Total magnetic moment, μB per formula unit: 0.00
# Uncorrected formation energy, eV per atom: 0.37
# DFT total energy, eV per atom: -6.49

No. 8
# TaCoNO2 (PBEsol, optimized geometry)
data_TaCoNO2
_chemical_formula_sum 'Ta1 Co1 N1 O2'
_cell_length_a 3.531
_cell_length_b 3.531
_cell_length_c 3.684
_cell_angle_alpha 90.00
_cell_angle_beta 90.00
_cell_angle_gamma 90.00
_space_group_name_H-M_alt 'P 4/m m m'
_space_group_IT_number 123
_space_group_name_Hall '-P 4 2'
loop_
_atom_site_label
_atom_site_fract_x
_atom_site_fract_y
_atom_site_fract_z
Ta1 0.000 0.000 0.000
Co1 0.500 0.500 0.500
N1 0.500 0.500 0.000
O1 0.000 0.500 0.500
# Total magnetic moment, μB per formula unit: 0.00
# Uncorrected formation energy, eV per atom: -0.40
# DFT total energy, eV per atom: -8.26

No. 9
# YCoNO2 (PBEsol, optimized geometry)
data_YCoNO2
_chemical_formula_sum 'Y1 Co1 N1 O2'
_cell_length_a 3.828
_cell_length_b 3.828
_cell_length_c 3.455
_cell_angle_alpha 90.00
_cell_angle_beta 90.00
_cell_angle_gamma 90.00
_space_group_name_H-M_alt 'P 4/m m m'
_space_group_IT_number 123
_space_group_name_Hall '-P 4 2'
loop_
_atom_site_label
_atom_site_fract_x
_atom_site_fract_y
_atom_site_fract_z
Y1 0.000 0.000 0.000
Co1 0.500 0.500 0.500
N1 0.500 0.500 0.000
O1 0.000 0.500 0.500
# Total magnetic moment, μB per formula unit: 0.00
# Uncorrected formation energy, eV per atom: -1.49
# DFT total energy, eV per atom: -8.21

No. 10
# Co2OsN2 (PBEsol, optimized geometry)
data_Co2OsN2
_chemical_formula_sum 'Co4 Os2 N4'
_cell_length_a 2.958
_cell_length_b 2.958
_cell_length_c 11.027
_cell_angle_alpha 90.00
_cell_angle_beta 90.00
_cell_angle_gamma 90.00
_space_group_name_H-M_alt 'I 4/m m m'
_space_group_IT_number 139
_space_group_name_Hall '-I 4 2'
loop_
_atom_site_label
_atom_site_fract_x
_atom_site_fract_y
_atom_site_fract_z
Co1 0.000 0.000 0.146
Os1 0.000 0.000 0.500
N1 0.000 0.500 0.250
# Total magnetic moment, μB per formula unit: 0.00
# Uncorrected formation energy, eV per atom: 0.84
# DFT total energy, eV per atom: -8.11

No. 11
# Co3OsN (PBEsol, optimized geometry)
data_Co3OsN
_chemical_formula_sum 'Co3 Os1 N1'
_cell_length_a 3.725
_cell_length_b 3.725
_cell_length_c 3.725
_cell_angle_alpha 90.00
_cell_angle_beta 90.00
_cell_angle_gamma 90.00
_space_group_name_H-M_alt 'P m -3 m'
_space_group_IT_number 221
_space_group_name_Hall '-P 4 2 3'
loop_
_atom_site_label
_atom_site_fract_x
_atom_site_fract_y
_atom_site_fract_z
Co1 0.000 0.000 0.500
Os1 0.500 0.500 0.500
N1 0.000 0.000 0.000
# Total magnetic moment, μB per formula unit: 5.00
# Uncorrected formation energy, eV per atom: 0.27
# DFT total energy, eV per atom: -8.53

No. 12
# CoOsS2N (PBEsol, optimized geometry)
data_CoOsS2N
_chemical_formula_sum 'Co1 Os1 S2 N1'
_cell_length_a 4.725
_cell_length_b 4.725
_cell_length_c 3.624
_cell_angle_alpha 90.00
_cell_angle_beta 90.00
_cell_angle_gamma 90.00
_space_group_name_H-M_alt 'P 4/m m m'
_space_group_IT_number 123
_space_group_name_Hall '-P 4 2'
loop_
_atom_site_label
_atom_site_fract_x
_atom_site_fract_y
_atom_site_fract_z
Co1 0.000 0.000 0.000
Os1 0.500 0.500 0.500
S1 0.000 0.500 0.500
N1 0.500 0.500 0.000
# Total magnetic moment, μB per formula unit: 2.26
# Uncorrected formation energy, eV per atom: 0.82
# DFT total energy, eV per atom: -6.63

Which value of DFT total energy does entry 12 give?
-6.63 eV per atom

Look up the DFT total energy of the fifth one.
-3.26 eV per atom

What is the uncorrected formation energy in the ninth record?
-1.49 eV per atom